Entry 1:
VCrO3 | SCAN | PBEsol geometry

a = 4.9777 Å, b = 4.9777 Å, c = 13.6393 Å
α = 90.00°, β = 90.00°, γ = 120.00°
Last column: nearest neighbours and their distance in Å.
Space group R3c (No. 161, hexagonal axes)
Symmetry-distinct sites (fractional):
V (0.0000, 0.0000, 0.0000) (multiplicity 6)  6 O 1.95-2.03
Cr (0.0000, 0.0000, 0.2000) (multiplicity 6)  6 O 1.96-2.06
O (0.0035, 0.3078, 0.0986) (multiplicity 18)  2 V 1.95-2.03, 2 Cr 1.96-2.06

Magnetization ... 5.0 μB/f.u.
Crystal system ... trigonal
Energy ... -405.1 eV/cell
Energy relative to the elements, uncorrected ... -1249 kJ/mol of formula units


Entry 2:
V4Cr2O13 | SCAN | PBEsol geometry

a = 8.2608 Å, b = 9.2821 Å, c = 14.5297 Å
α = 90.00°, β = 103.11°, γ = 90.00°
Last column: nearest neighbours and their distance in Å.
Space group P2_1/c (No. 14)
Symmetry-distinct sites (fractional):
V (0.0367, 0.2099, 0.0933) (multiplicity 4)  4 O 1.67-1.77
V (0.2418, 0.2232, 0.3308) (multiplicity 4)  4 O 1.66-1.78
V (0.3626, 0.7376, 0.1729) (multiplicity 4)  4 O 1.67-1.77
V (0.4564, 0.7068, 0.9082) (multiplicity 4)  4 O 1.67-1.78
Cr (0.1883, 0.0011, 0.5140) (multiplicity 4)  6 O 1.90-1.97
Cr (0.3131, 0.5011, 0.4933) (multiplicity 4)  6 O 1.88-1.99
O (0.0082, 0.1137, 0.5460) (multiplicity 4)  1 V 1.77, 2 Cr 1.96-1.97
O (0.1099, 0.2265, 0.2173) (multiplicity 4)  2 V 1.76-1.77
O (0.1494, 0.6304, 0.4299) (multiplicity 4)  1 V 1.67
O (0.1669, 0.1151, 0.0443) (multiplicity 4)  1 V 1.67
O (0.1705, 0.1097, 0.4008) (multiplicity 4)  1 V 1.66
O (0.2192, 0.6142, 0.1260) (multiplicity 4)  1 V 1.68
O (0.2723, 0.1141, 0.8811) (multiplicity 4)  1 V 1.67
O (0.3446, 0.6160, 0.9711) (multiplicity 4)  1 V 1.67
O (0.3474, 0.7126, 0.7878) (multiplicity 4)  2 V 1.76-1.78
O (0.3486, 0.6160, 0.6050) (multiplicity 4)  1 V 1.67
O (0.3559, 0.1302, 0.5800) (multiplicity 4)  1 V 1.68
O (0.4395, 0.1599, 0.3199) (multiplicity 4)  2 V 1.77-1.78
O (0.4880, 0.6146, 0.4520) (multiplicity 4)  1 V 1.77, 1 Cr 1.97

Magnetization ... 6.0 μB/f.u.
Crystal system ... monoclinic
Energy ... -944.9 eV/cell
Energy relative to the elements, uncorrected ... -4679 kJ/mol of formula units


Entry 3:
VCrO3 | SCAN | PBEsol geometry

a = 4.8098 Å, b = 5.3665 Å, c = 8.4141 Å
α = 104.70°, β = 90.95°, γ = 115.72°
Last column: nearest neighbours and their distance in Å.
Space group P-1 (No. 2)
Symmetry-distinct sites (fractional):
V (0.0167, 0.0270, 0.1679) (multiplicity 2)  6 O 1.96-2.02
V (0.2119, 0.4664, 0.5652) (multiplicity 2)  6 O 1.91-2.08
Cr (0.2587, 0.5200, 0.9143) (multiplicity 2)  6 O 1.93-1.99
Cr (0.4879, 0.9712, 0.3201) (multiplicity 2)  6 O 1.94-2.02
O (0.1944, 0.7456, 0.1167) (multiplicity 2)  3 Cr 1.94-1.99, 1 V 2.00
O (0.2059, 0.7380, 0.7757) (multiplicity 2)  2 Cr 1.93-1.98, 2 V 1.96-2.00
O (0.2313, 0.7645, 0.4641) (multiplicity 2)  2 V 1.92-1.96, 2 Cr 1.94-2.02
O (0.2644, 0.2419, 0.7096) (multiplicity 2)  2 Cr 1.96-1.98, 2 V 2.00-2.02
O (0.2917, 0.2546, 0.0336) (multiplicity 2)  2 Cr 1.94-1.99, 2 V 1.97-2.01
O (0.3121, 0.2585, 0.3733) (multiplicity 2)  3 V 1.91-2.08, 1 Cr 2.02

Magnetization ... 2.1 μB/f.u.
Crystal system ... triclinic
Energy ... -269.3 eV/cell
Energy relative to the elements, uncorrected ... -1230 kJ/mol of formula units


Entry 4:
CrWO2 | SCAN | PBEsol geometry

a = 2.6959 Å, b = 2.6959 Å, c = 19.9196 Å
α = 90.00°, β = 90.00°, γ = 120.00°
Last column: nearest neighbours and their distance in Å.
Space group R-3m (No. 166, hexagonal axes)
Symmetry-distinct sites (fractional):
Cr (0.0000, 0.0000, 0.0000) (multiplicity 3)  2 O 1.89
W (0.0000, 0.0000, 0.5000) (multiplicity 3)  6 O 2.11
O (0.0000, 0.0000, 0.0948) (multiplicity 6)  1 Cr 1.89, 3 W 2.11

Magnetization ... 0.0 μB/f.u.
Crystal system ... trigonal
Energy ... -313.2 eV/cell
Energy relative to the elements, uncorrected ... -375 kJ/mol of formula units


Among the records above, which one has the highest magnetization?
V4Cr2O13


Which of these has the highest energy relative to the elements, uncorrected?
CrWO2


Which of these has the lowest energy?
V4Cr2O13


Which of these has the highest energy?
number 3